*i*
## Tm6Co2Te (PBE)

Data for a relaxed Tm6Co2Te crystal.

total magnetization	0.0000	μB per atom

Structure (POSCAR):
```
Tm6Co2Te
1.0
7.712 -5.024 0.000
7.712 5.024 0.000
-1.674 0.000 5.850
Tm Co Te
12 4 2
direct
0.016 0.196 0.131
0.048 0.568 0.300
0.196 0.016 0.631
0.317 0.445 0.813
0.432 0.952 0.200
0.445 0.317 0.313
0.555 0.683 0.687
0.568 0.048 0.800
0.683 0.555 0.187
0.804 0.984 0.369
0.952 0.432 0.700
0.984 0.804 0.869
0.237 0.245 0.468
0.245 0.237 0.968
0.755 0.763 0.032
0.763 0.755 0.532
0.305 0.695 0.250
0.695 0.305 0.750
```



*ii*
## Tm6Co2Te (PBE)

Data for a relaxed Tm6Co2Te crystal.

total magnetization	0.0226	μB per atom

Structure (POSCAR):
```
Tm6Co2Te
1.0
-4.618 4.748 4.985
4.618 -4.748 4.985
4.618 4.748 -4.985
Tm Co Te
12 4 2
direct
0.027 0.235 0.791
0.182 0.284 0.467
0.182 0.716 0.898
0.326 0.008 0.682
0.326 0.644 0.318
0.444 0.235 0.209
0.556 0.765 0.791
0.674 0.356 0.682
0.674 0.992 0.318
0.818 0.284 0.102
0.818 0.716 0.533
0.973 0.765 0.209
0.114 0.614 0.500
0.340 0.000 0.340
0.660 0.000 0.660
0.886 0.386 0.500
0.000 0.000 0.000
0.500 0.500 0.000
```



The most stable of them is *ii*.



*i*
## VCoTe (PBE)

Data for a relaxed VCoTe crystal.

total magnetization	0.6693	μB per atom

Structure (POSCAR):
```
VCoTe
1.0
5.860 0.000 0.000
0.000 5.860 0.000
0.000 0.000 5.860
V Co Te
4 4 4
direct
0.000 0.000 0.000
0.000 0.500 0.500
0.500 0.000 0.500
0.500 0.500 0.000
0.250 0.250 0.250
0.250 0.750 0.750
0.750 0.250 0.750
0.750 0.750 0.250
0.000 0.000 0.500
0.000 0.500 0.000
0.500 0.000 0.000
0.500 0.500 0.500
```



*ii*
## VCoTe (PBE)

Data for a relaxed VCoTe crystal.

total magnetization	0.0000	μB per atom

Structure (POSCAR):
```
VCoTe
1.0
6.828 0.000 0.000
0.000 3.942 0.000
-2.296 0.000 8.877
V Co Te
4 4 4
direct
0.000 0.000 0.000
0.202 0.500 0.106
0.500 0.500 0.000
0.702 0.000 0.106
0.310 0.000 0.930
0.406 0.000 0.215
0.810 0.500 0.930
0.906 0.500 0.215
0.095 0.500 0.787
0.298 0.500 0.389
0.595 0.000 0.787
0.798 0.000 0.389
```



The most stable of them is *ii*.